16
Lattice="8.434 0.000 0.000 0.000 8.460 0.012 -4.217 -4.214 5.967" Properties=species:S:1:pos:R:3 comment="Pm4Pr3ThSe8, relaxed, DFT PBE" magnetic_moment_mub_per_fu=0.00 raw_formation_energy_ev_per_atom=-1.794 e_tot_ev_per_atom=-6.08 pbc="T T T"
Pr 4.217 4.230 0.006
Pr -2.108 2.123 2.989
Pr 2.108 2.123 2.989
Se 6.343 6.362 0.033
Se 2.126 -2.116 5.945
Se 2.091 6.362 0.033
Se 4.217 -0.027 2.987
Se -2.126 -2.116 5.945
Se 0.000 -0.027 2.962
Se 0.000 4.273 2.992
Se 4.217 4.273 3.017
Pm 4.217 0.000 0.000
Pm 0.000 0.000 0.000
Pm -2.108 -2.107 2.984
Pm 2.108 -2.107 2.984
Th 0.000 4.230 0.006

=====

14
Lattice="6.711 0.000 0.000 0.000 7.017 0.109 -3.356 -0.944 8.467" Properties=species:S:1:pos:R:3 comment="Pm5Cu2, relaxed, DFT PBE" magnetic_moment_mub_per_fu=0.00 e_tot_ev_per_atom=-4.63 pbc="T T T"
Pm -0.453 4.428 4.833
Pm 5.990 6.422 1.702
Pm 2.902 5.154 3.797
Pm 3.769 1.754 0.027
Pm 0.721 2.914 1.647
Pm 3.809 1.645 3.743
Pm 0.453 0.919 4.778
Pm -2.634 -0.349 6.874
Pm 2.634 3.159 6.928
Pm 2.942 5.263 0.081
Cu 1.331 5.836 6.710
Cu 4.687 3.745 1.919
Cu 2.024 0.237 1.865
Cu -1.331 2.328 6.656

=====

5
Lattice="-3.405 -1.579 2.122 0.641 -3.848 -1.836 2.566 -1.135 3.274" Properties=species:S:1:pos:R:3 comment="MnNi3As, relaxed, DFT PBE" magnetic_moment_mub_per_fu=4.24 e_tot_ev_per_atom=-5.19 pbc="T T T"
As -0.099 -3.281 1.780
Mn 0.000 0.000 0.000
Ni 0.320 -1.924 -0.918
Ni -1.703 -0.790 1.061
Ni 1.283 -0.567 1.637

=====

7
Lattice="-4.886 1.699 -1.603 -2.229 -2.279 4.378 -2.612 5.944 5.113" Properties=species:S:1:pos:R:3 comment="Na4CoCl2, relaxed, DFT PBE" magnetic_moment_mub_per_fu=1.50 raw_formation_energy_ev_per_atom=-0.299 e_tot_ev_per_atom=-2.60 pbc="T T T"
Cl -3.314 1.318 2.348
Cl -6.413 4.046 5.540
Na -2.977 3.536 3.674
Na -1.114 -1.139 2.189
Na -2.443 0.849 -0.801
Na -6.750 1.827 4.214
Co 0.000 0.000 0.000

=====

4
Lattice="3.721 0.000 0.000 0.000 5.053 0.000 0.000 0.000 6.212" Properties=species:S:1:pos:R:3 comment="LiLa2Br, relaxed, DFT PBE" magnetic_moment_mub_per_fu=0.00 raw_formation_energy_ev_per_atom=-0.513 e_tot_ev_per_atom=-3.87 pbc="T T T"
La 0.000 0.000 5.440
La 1.860 2.527 2.325
Br 1.860 2.527 5.430
Li 0.000 0.000 2.334

=====

5
Lattice="-3.429 1.697 3.331 1.498 -3.518 3.334 3.425 3.237 1.877" Properties=species:S:1:pos:R:3 comment="Ge3AsSe, relaxed, DFT PBE" magnetic_moment_mub_per_fu=0.00 raw_formation_energy_ev_per_atom=0.683 e_tot_ev_per_atom=-3.71 pbc="T T T"
Se 0.747 0.708 4.271
Ge -1.715 0.848 1.666
Ge 1.713 1.618 0.939
Ge 0.749 -1.759 1.667
As 0.000 0.000 0.000

=====

4
Lattice="6.009 0.000 0.000 3.005 5.204 0.000 3.005 1.735 4.907" Properties=species:S:1:pos:R:3 comment="LaNdEu2, relaxed, DFT PBE" magnetic_moment_mub_per_fu=14.98 e_tot_ev_per_atom=-7.44 pbc="T T T"
Eu 3.005 1.735 1.227
Eu 9.014 5.204 3.680
La 0.000 0.000 0.000
Nd 6.009 3.469 2.453

=====

4
Lattice="2.140 0.000 5.769 -1.070 1.853 5.769 -1.070 -1.853 5.769" Properties=species:S:1:pos:R:3 comment="TlSiN2, relaxed, DFT PBE" magnetic_moment_mub_per_fu=0.00 raw_formation_energy_ev_per_atom=0.731 e_tot_ev_per_atom=-5.38 pbc="T T T"
N 0.000 0.000 15.665
N 0.000 0.000 1.643
Si 0.000 0.000 0.000
Tl 0.000 0.000 8.654

=====

10
Lattice="-2.215 -2.072 1.922 2.428 -0.147 2.641 -9.804 19.867 10.117" Properties=species:S:1:pos:R:3 comment="Y5Th4Mg, relaxed, DFT PBE" magnetic_moment_mub_per_fu=0.00 e_tot_ev_per_atom=-6.35 pbc="T T T"
Y -6.827 12.942 9.437
Y -0.774 0.674 3.190
Y -4.796 8.824 7.340
Y -8.817 16.974 11.490
Y -2.764 4.707 5.243
Th -5.916 11.988 6.105
Th -3.888 7.879 4.013
Th -7.948 16.105 8.202
Th -1.856 3.762 1.916
Mg 0.000 0.000 0.000

=====

12
Lattice="3.988 0.000 0.000 0.000 3.988 0.000 0.000 0.000 11.968" Properties=species:S:1:pos:R:3 comment="Sc2TiPt9, relaxed, DFT PBE" magnetic_moment_mub_per_fu=0.00 e_tot_ev_per_atom=-7.26 pbc="T T T"
Sc 0.000 0.000 3.996
Sc 0.000 0.000 7.972
Pt 1.994 1.994 3.956
Pt 1.994 0.000 5.984
Pt 1.994 0.000 10.046
Pt 1.994 0.000 1.923
Pt 0.000 1.994 1.923
Pt 0.000 1.994 10.046
Pt 1.994 1.994 8.012
Pt 0.000 1.994 5.984
Pt 1.994 1.994 0.000
Ti 0.000 0.000 0.000

=====

5
Lattice="-2.853 0.528 2.968 -2.498 -2.701 -1.920 1.688 -3.106 2.175" Properties=species:S:1:pos:R:3 comment="VNi3Os, relaxed, DFT PBE" magnetic_moment_mub_per_fu=0.85 e_tot_ev_per_atom=-6.16 pbc="T T T"
Ni -1.426 0.264 1.484
Ni -1.249 -1.351 -0.960
Ni 0.844 -1.553 1.087
V 0.000 0.000 0.000
Os -1.831 -2.640 1.611